Run one
## PrSm6Al (PBE)

Data for an optimized crystal structure of PrSm6Al.

The structure in POSCAR format:
```
PrSm6Al
1.0
-4.807 -1.059 -0.546
1.191 -4.186 -2.363
0.091 -5.020 8.940
Pr Sm Al
1 6 1
Direct
0.000 0.000 0.500
0.500 0.000 0.235
0.000 0.500 0.765
0.500 0.500 0.500
0.000 0.500 0.235
0.500 0.500 0.000
0.500 0.000 0.765
0.000 0.000 0.000
```

* M_tot: 0.000 μB/f.u.
* calculated density: 7.07 g/cm³

=====

Run two
## PrSm6Al (PBE)

Data for an optimized crystal structure of PrSm6Al.

The structure in POSCAR format:
```
PrSm6Al
1.0
6.951 1.006 0.000
2.676 6.483 0.000
1.338 3.241 6.169
Sm Al Pr
6 1 1
Direct
0.741 0.061 0.437
0.736 0.737 0.000
0.264 0.263 0.000
0.259 0.501 0.437
0.741 0.499 0.563
0.259 0.939 0.563
0.500 0.500 0.000
0.000 0.000 0.000
```

* M_tot: 0.502 μB/f.u.
* calculated density: 6.80 g/cm³

=====

What should be chosen as the most stable of them? Choose run one.

=====

Run one
## Pr4Sm5Al (PBE)

Data for an optimized crystal structure of Pr4Sm5Al.

The structure in POSCAR format:
```
Pr4Sm5Al
1.0
5.871 0.000 0.000
2.936 7.656 0.000
2.936 0.000 7.656
Pr Sm Al
4 5 1
Direct
0.148 0.310 0.310
0.768 0.690 0.690
0.458 0.690 0.310
0.458 0.310 0.690
0.651 0.000 0.000
0.147 0.000 0.635
0.147 0.635 0.000
0.782 0.000 0.365
0.782 0.365 0.000
0.170 0.000 0.000
```

* M_tot: 0.000 μB/f.u.
* calculated density: 6.48 g/cm³

=====

Run two
## Pr4Sm5Al (PBE)

Data for an optimized crystal structure of Pr4Sm5Al.

The structure in POSCAR format:
```
Pr4Sm5Al
1.0
3.668 0.000 0.000
0.000 3.668 0.000
0.000 0.000 24.635
Pr Sm Al
4 5 1
Direct
0.000 0.000 0.605
0.000 0.000 0.395
0.000 0.000 0.817
0.000 0.000 0.183
0.500 0.500 0.712
0.500 0.500 0.076
0.500 0.500 0.288
0.500 0.500 0.924
0.500 0.500 0.500
0.000 0.000 0.000
```

* M_tot: 0.000 μB/f.u.
* calculated density: 6.72 g/cm³

=====

What should be chosen as the most stable of them? Choose run two.

=====

Run one
## PrSmYAl (PBE)

Data for an optimized crystal structure of PrSmYAl.

The structure in POSCAR format:
```
PrSmYAl
1.0
-0.798 3.878 3.770
-4.133 3.537 -0.549
-4.310 -0.290 3.351
Al Y Sm Pr
1 1 1 1
Direct
0.000 0.000 0.000
0.500 0.500 0.500
0.750 0.750 0.750
0.250 0.250 0.250
```

* M_tot: 0.003 μB/f.u.
* calculated density: 5.85 g/cm³

=====

Run two
## PrSmYAl (PBE)

Data for an optimized crystal structure of PrSmYAl.

The structure in POSCAR format:
```
PrSmYAl
1.0
3.571 0.000 0.000
0.000 3.571 0.000
0.000 0.000 9.255
Al Sm Pr Y
1 1 1 1
Direct
0.000 0.000 0.576
0.500 0.500 0.363
0.000 0.000 0.067
0.500 0.500 0.779
```

* M_tot: 0.000 μB/f.u.
* calculated density: 5.73 g/cm³

=====

What should be chosen as the most stable of them? Choose run two.